1.
This record from the Alexandria database describes In2GeSb after structural relaxation. The functional is PBE-GGA.

Cell and atoms, written as extended XYZ:
```
4
Lattice="0.000 3.696 3.696 3.696 0.000 3.696 3.696 3.696 0.000" Properties=species:S:1:pos:R:3 pbc="T T T"
In 1.848 1.848 1.848
In 5.544 5.544 5.544
Ge 0.000 0.000 0.000
Sb 3.696 3.696 3.696
```

SG: Fm-3m (225)
Uncorrected energy (eV for the cell shown): -13.4
Distance to the lowest polymorph of the same formula (meV/atom): 111


2.
This record from the Alexandria database describes In2GeSb after structural relaxation. The functional is PBE-GGA.

Cell and atoms, written as extended XYZ:
```
8
Lattice="5.510 0.000 0.000 -2.218 5.856 0.000 -0.406 -0.658 6.536" Properties=species:S:1:pos:R:3 pbc="T T T"
In 0.100 1.545 0.838
In 0.065 3.451 4.006
In 2.821 1.746 2.530
In 2.786 3.653 5.698
Ge -0.295 0.460 4.337
Ge 3.181 4.738 2.199
Sb 0.471 4.640 1.062
Sb 2.415 0.557 5.475
```

SG: P-1 (2)
Uncorrected energy (eV for the cell shown): -27.5
Distance to the lowest polymorph of the same formula (meV/atom): 30


3.
This record from the Alexandria database describes InGe2Sb2 after structural relaxation. The functional is PBE-GGA.

Cell and atoms, written as extended XYZ:
```
5
Lattice="-2.706 2.706 4.521 2.706 -2.706 4.521 2.706 2.706 -4.521" Properties=species:S:1:pos:R:3 pbc="T T T"
In 0.000 0.000 0.000
Ge 0.000 0.000 3.228
Ge 0.000 0.000 5.814
Sb 2.706 0.000 2.261
Sb 0.000 2.706 2.261
```

SG: I4/mmm (139)
Uncorrected energy (eV for the cell shown): -19.4
Distance to the lowest polymorph of the same formula (meV/atom): 0


4.
This record from the Alexandria database describes In2Ge2Sb after structural relaxation. The functional is PBE-GGA.

Cell and atoms, written as extended XYZ:
```
5
Lattice="-1.923 1.923 8.429 1.923 -1.923 8.429 1.923 1.923 -8.429" Properties=species:S:1:pos:R:3 pbc="T T T"
In 0.000 0.000 1.750
In 0.000 0.000 15.109
Ge 1.923 0.000 4.215
Ge 0.000 1.923 4.215
Sb 0.000 0.000 8.429
```

SG: I4/mmm (139)
Uncorrected energy (eV for the cell shown): -17.9
Distance to the lowest polymorph of the same formula (meV/atom): 0


5.
This record from the Alexandria database describes In2GeSb after structural relaxation. The functional is PBE-GGA.

Cell and atoms, written as extended XYZ:
```
8
Lattice="6.342 0.000 0.000 3.056 5.685 0.000 1.548 2.758 5.842" Properties=species:S:1:pos:R:3 pbc="T T T"
In 0.000 0.000 0.000
In 2.065 3.391 2.881
In 4.054 6.000 2.889
In 6.780 5.956 5.750
Ge 3.432 0.180 0.093
Ge 6.925 5.822 2.793
Sb 3.620 5.358 5.808
Sb 5.091 2.600 2.995
```

SG: P1 (1)
Uncorrected energy (eV for the cell shown): -27.8
Distance to the lowest polymorph of the same formula (meV/atom): 0


6.
This record from the Alexandria database describes In2GeSb after structural relaxation. The functional is PBE-GGA.

Cell and atoms, written as extended XYZ:
```
8
Lattice="5.883 0.000 0.000 0.000 5.534 0.000 -2.887 0.000 6.420" Properties=species:S:1:pos:R:3 pbc="T T T"
In 0.000 0.000 0.000
In 0.016 2.767 1.768
In 0.021 2.767 5.135
In 2.941 0.000 0.462
Ge 2.957 2.767 1.766
Ge 2.958 0.000 3.376
Sb 0.017 0.000 3.449
Sb 2.967 2.767 4.613
```

SG: Pm (6)
Uncorrected energy (eV for the cell shown): -27.6
Distance to the lowest polymorph of the same formula (meV/atom): 28